[1]
First-principles (GGA-PBE) data for NdTmTl6 after structural relaxation, as listed in the Alexandria database.

Cell lengths 4.7944, 4.7944, 9.5745 Å; angles 90.00, 90.00, 90.00 degrees
Last column: nearest neighbours and their distance in Å.
Atoms (fractional coordinates):
Tl  0.5000  0.0000  0.2552  8 Tl 3.35-3.42, 2 Tm 3.35, 2 Nd 3.42
Tl  0.5000  0.0000  0.7448  8 Tl 3.35-3.42, 2 Tm 3.35, 2 Nd 3.42
Tl  0.5000  0.5000  0.5000  8 Tl 3.35, 4 Tm 3.39
Tl  0.0000  0.5000  0.7448  8 Tl 3.35-3.42, 2 Tm 3.35, 2 Nd 3.42
Tl  0.5000  0.5000  0.0000  4 Nd 3.39, 8 Tl 3.42
Tl  0.0000  0.5000  0.2552  8 Tl 3.35-3.42, 2 Tm 3.35, 2 Nd 3.42
Nd  0.0000  0.0000  0.0000  12 Tl 3.39-3.42
Tm  0.0000  0.0000  0.5000  12 Tl 3.35-3.39

Computed properties:
Its space-group type is P4/mmm (123). The formation energy comes out at -0.249 eV per atom.

***

[2]
First-principles (GGA-PBE) data for NdTm5Tl2 after structural relaxation, as listed in the Alexandria database.

Cell lengths 3.6400, 8.3557, 8.3557 Å; angles 76.02, 77.42, 77.42 degrees
Last column: nearest neighbours and their distance in Å.
Atoms (fractional coordinates):
Tl  0.2581  0.2419  0.2419  7 Tm 3.13-3.35
Tl  0.7419  0.7581  0.7581  7 Tm 3.13-3.35
Tm  0.3663  0.8602  0.4071  3 Tl 3.13-3.35, 5 Tm 3.38-3.49
Tm  0.3663  0.4071  0.8602  3 Tl 3.13-3.35, 5 Tm 3.38-3.49
Tm  0.6337  0.5929  0.1398  3 Tl 3.13-3.35, 5 Tm 3.38-3.49
Tm  0.6337  0.1398  0.5929  3 Tl 3.13-3.35, 5 Tm 3.38-3.49
Tm  0.0000  0.5000  0.5000  2 Tl 3.27, 10 Tm 3.41-3.64
Nd  0.0000  0.0000  0.0000  4 Tl 3.56, 2 Nd 3.64, 8 Tm 3.75

Computed properties:
Its space-group type is Immm (71). The formation energy comes out at -0.123 eV per atom.